1.
# SrScBe2 | Alexandria via LeMat-Bulk | PBEsol | relaxed
# ΔE_f	0.700	eV/atom
# E	-3.41	eV per atom
data_SrScBe2
_symmetry_space_group_name_H-M 'I -4 m 2'
_symmetry_Int_Tables_number 119
_symmetry_space_group_name_Hall 'I -4 -2'
_cell_length_a 4.3689
_cell_length_b 4.3689
_cell_length_c 7.9035
_cell_angle_alpha 90.00
_cell_angle_beta 90.00
_cell_angle_gamma 90.00
loop_
_atom_site_label
_atom_site_type_symbol
_atom_site_fract_x
_atom_site_fract_y
_atom_site_fract_z
Sr1 Sr 0.0000 0.0000 0.0000
Sc1 Sc 0.0000 0.5000 0.7500
Be1 Be 0.0000 0.0000 0.5000
Be2 Be 0.0000 0.5000 0.2500

***

2.
# CoSbAs2 | Alexandria via LeMat-Bulk | PBEsol | relaxed
# E	-5.47	eV per atom
# formation energy without anion corrections	0.153	eV/atom
data_CoSbAs2
_symmetry_space_group_name_H-M 'I m m m'
_symmetry_Int_Tables_number 71
_symmetry_space_group_name_Hall '-I 2 2'
_cell_length_a 2.9833
_cell_length_b 4.5822
_cell_length_c 10.5229
_cell_angle_alpha 90.00
_cell_angle_beta 90.00
_cell_angle_gamma 90.00
loop_
_atom_site_label
_atom_site_type_symbol
_atom_site_fract_x
_atom_site_fract_y
_atom_site_fract_z
Co1 Co 0.0000 0.0000 0.0000
Sb1 Sb 0.0000 0.0000 0.5000
As1 As 0.0000 0.5000 0.3177

***

3.
# LaP2AuS | Alexandria via LeMat-Bulk | PBEsol | relaxed
# E	-4.04	eV per atom
# formation energy without anion corrections	1.007	eV/atom
data_LaP2AuS
_symmetry_space_group_name_H-M 'P 4/m m m'
_symmetry_Int_Tables_number 123
_symmetry_space_group_name_Hall '-P 4 2'
_cell_length_a 5.4257
_cell_length_b 5.4257
_cell_length_c 5.2595
_cell_angle_alpha 90.00
_cell_angle_beta 90.00
_cell_angle_gamma 90.00
loop_
_atom_site_label
_atom_site_type_symbol
_atom_site_fract_x
_atom_site_fract_y
_atom_site_fract_z
La1 La 0.0000 0.0000 0.0000
P1 P 0.0000 0.5000 0.0000
Au1 Au 0.5000 0.5000 0.5000
S1 S 0.0000 0.0000 0.5000

***

4.
# ZnSiO3 | Alexandria via LeMat-Bulk | PBEsol | relaxed
# E	-6.86	eV per atom
# formation energy without anion corrections	-2.242	eV/atom
data_ZnSiO3
_symmetry_space_group_name_H-M 'P b c a'
_symmetry_Int_Tables_number 61
_symmetry_space_group_name_Hall '-P 2ac 2ab'
_cell_length_a 5.3182
_cell_length_b 18.1879
_cell_length_c 9.2268
_cell_angle_alpha 90.00
_cell_angle_beta 90.00
_cell_angle_gamma 90.00
loop_
_atom_site_label
_atom_site_type_symbol
_atom_site_fract_x
_atom_site_fract_y
_atom_site_fract_z
Zn1 Zn 0.0851 0.1265 0.1419
Zn2 Zn 0.0885 0.1234 0.4832
Si1 Si 0.0953 0.7246 0.6646
Si2 Si 0.2178 0.0279 0.8335
O1 O 0.0677 0.5530 0.7142
O2 O 0.0981 0.6850 0.1679
O3 O 0.1260 0.6880 0.5049
O4 O 0.1627 0.1958 0.7589
O5 O 0.2116 0.5678 0.9858
O6 O 0.2202 0.5625 0.3375

***

5.
# K2BaTa | Alexandria via LeMat-Bulk | PBEsol | relaxed
# ΔE_f	0.996	eV/atom
# E	-3.25	eV per atom
data_K2BaTa
_symmetry_space_group_name_H-M 'P 4 m m'
_symmetry_Int_Tables_number 99
_symmetry_space_group_name_Hall 'P 4 -2'
_cell_length_a 3.4346
_cell_length_b 3.4346
_cell_length_c 13.0789
_cell_angle_alpha 90.00
_cell_angle_beta 90.00
_cell_angle_gamma 90.00
loop_
_atom_site_label
_atom_site_type_symbol
_atom_site_fract_x
_atom_site_fract_y
_atom_site_fract_z
K1 K 0.0000 0.0000 0.0000
K2 K 0.5000 0.5000 0.3141
Ba1 Ba 0.5000 0.5000 0.7079
Ta1 Ta 0.0000 0.0000 0.5292

***

6.
# FeCu2Pt | Alexandria via LeMat-Bulk | PBEsol | relaxed
# ΔE_f	-0.048	eV/atom
# E	-6.20	eV per atom
data_FeCu2Pt
_symmetry_space_group_name_H-M 'I -4 m 2'
_symmetry_Int_Tables_number 119
_symmetry_space_group_name_Hall 'I -4 -2'
_cell_length_a 3.6864
_cell_length_b 3.6864
_cell_length_c 7.2986
_cell_angle_alpha 90.00
_cell_angle_beta 90.00
_cell_angle_gamma 90.00
loop_
_atom_site_label
_atom_site_type_symbol
_atom_site_fract_x
_atom_site_fract_y
_atom_site_fract_z
Fe1 Fe 0.0000 0.0000 0.0000
Cu1 Cu 0.0000 0.0000 0.5000
Cu2 Cu 0.0000 0.5000 0.7500
Pt1 Pt 0.0000 0.5000 0.2500

***

7.
# CrTcBr2 | Alexandria via LeMat-Bulk | PBEsol | relaxed
# E	-6.09	eV per atom
# formation energy without anion corrections	0.222	eV/atom
data_CrTcBr2
_symmetry_space_group_name_H-M 'P 1 m 1'
_symmetry_Int_Tables_number 6
_symmetry_space_group_name_Hall 'P -2y'
_cell_length_a 3.9295
_cell_length_b 3.3645
_cell_length_c 6.8308
_cell_angle_alpha 90.00
_cell_angle_beta 104.67
_cell_angle_gamma 90.00
loop_
_atom_site_label
_atom_site_type_symbol
_atom_site_fract_x
_atom_site_fract_y
_atom_site_fract_z
Cr1 Cr 0.0000 0.0000 0.0000
Tc1 Tc 0.6608 0.5000 0.0340
Br1 Br 0.1535 0.5000 0.7329
Br2 Br 0.4811 0.0000 0.3007

***

8.
# CdInAg2 | Alexandria via LeMat-Bulk | PBEsol | relaxed
# ΔE_f	-0.044	eV/atom
# E	-2.74	eV per atom
data_CdInAg2
_symmetry_space_group_name_H-M 'C 1 m 1'
_symmetry_Int_Tables_number 8
_symmetry_space_group_name_Hall 'C -2y'
_cell_length_a 10.6654
_cell_length_b 3.1061
_cell_length_c 5.0253
_cell_angle_alpha 90.00
_cell_angle_beta 116.48
_cell_angle_gamma 90.00
loop_
_atom_site_label
_atom_site_type_symbol
_atom_site_fract_x
_atom_site_fract_y
_atom_site_fract_z
Cd1 Cd 0.0000 0.0000 0.0000
In1 In 0.2622 0.5000 0.4062
Ag1 Ag 0.0127 0.5000 0.5031
Ag2 Ag 0.2513 0.0000 0.9066

***

Please write out number 6 again, unchanged.
# FeCu2Pt | Alexandria via LeMat-Bulk | PBEsol | relaxed
# ΔE_f	-0.048	eV/atom
# E	-6.20	eV per atom
data_FeCu2Pt
_symmetry_space_group_name_H-M 'I -4 m 2'
_symmetry_Int_Tables_number 119
_symmetry_space_group_name_Hall 'I -4 -2'
_cell_length_a 3.6864
_cell_length_b 3.6864
_cell_length_c 7.2986
_cell_angle_alpha 90.00
_cell_angle_beta 90.00
_cell_angle_gamma 90.00
loop_
_atom_site_label
_atom_site_type_symbol
_atom_site_fract_x
_atom_site_fract_y
_atom_site_fract_z
Fe1 Fe 0.0000 0.0000 0.0000
Cu1 Cu 0.0000 0.0000 0.5000
Cu2 Cu 0.0000 0.5000 0.7500
Pt1 Pt 0.0000 0.5000 0.2500